Entry 1:
Below is Mg2Al2Si at its PBEsol-relaxed geometry, with properties calculated at the SCAN level.

Properties
* V: 18.98 Å³ per atom
* energy: -67.99 eV/cell
* N(E_F): 3.94 states/eV/cell
* SG: P4/mbm (127)
* uncorrected formation energy: 0.2941 eV per atom

Cell lengths 7.951, 7.951, 3.002 Å; angles 90.00, 90.00, 90.00 degrees
Positions (direct):
Mg (0.182, 0.318, 0.000)
Mg (0.318, 0.818, 0.000)
Mg (0.682, 0.182, 0.000)
Mg (0.818, 0.682, 0.000)
Al (0.117, 0.617, 0.500)
Al (0.383, 0.117, 0.500)
Al (0.617, 0.883, 0.500)
Al (0.883, 0.383, 0.500)
Si (0.000, 0.000, 0.500)
Si (0.500, 0.500, 0.500)

---

Entry 2:
Below is NaSnB2I at its PBEsol-relaxed geometry, with properties calculated at the SCAN level.

Properties
* V: 27.50 Å³ per atom
* energy: -86.56 eV/cell
* N(E_F): 1.02 states/eV/cell
* SG: P4/mmm (123)
* uncorrected formation energy: 1.0350 eV per atom

Cell lengths 4.388, 4.388, 7.142 Å; angles 90.00, 90.00, 90.00 degrees
Positions (direct):
Na (0.000, 0.000, 0.000)
Sn (0.000, 0.000, 0.500)
B (0.000, 0.500, 0.500)
B (0.500, 0.000, 0.500)
I (0.500, 0.500, 0.000)

---

Entry 3:
Below is CdPtPb2 at its PBEsol-relaxed geometry, with properties calculated at the SCAN level.

Properties
* V: 24.25 Å³ per atom
* E_form: -2.7 kcal/mol of atoms
* energy: -252.64 eV/cell
* N(E_F): 1.58 states/eV/cell
* SG: Immm (71)

Cell lengths 7.086, 7.086, 7.086 Å; angles 153.29, 142.51, 46.62 degrees
Positions (direct):
Cd (0.000, 0.000, 0.000)
Pt (0.500, 0.500, 0.000)
Pb (0.319, 0.819, 0.500)
Pb (0.681, 0.181, 0.500)

---

Entry 4:
Below is RbCa3Y at its PBEsol-relaxed geometry, with properties calculated at the SCAN level.

Properties
* V: 53.43 Å³ per atom
* E_form: 14.1 kcal/mol of atoms
* energy: -74.51 eV/cell
* N(E_F): 3.71 states/eV/cell
* SG: Pm-3m (221)

Cell lengths 6.440, 6.440, 6.440 Å; angles 90.00, 90.00, 90.00 degrees
Positions (direct):
Rb (0.000, 0.000, 0.000)
Ca (0.000, 0.500, 0.500)
Ca (0.500, 0.000, 0.500)
Ca (0.500, 0.500, 0.000)
Y (0.500, 0.500, 0.500)

---

Entry 5:
Below is Li2AlPb at its PBEsol-relaxed geometry, with properties calculated at the SCAN level.

Properties
* V: 18.81 Å³ per atom
* E_form: -5.3 kcal/mol of atoms
* energy: -89.24 eV/cell
* N(E_F): 0.84 states/eV/cell
* SG: Pmm2 (25)

Cell lengths 3.229, 4.689, 4.968 Å; angles 90.00, 90.00, 90.00 degrees
Positions (direct):
Li (0.000, 0.000, 0.000)
Li (0.000, 0.500, 0.356)
Al (0.500, 0.000, 0.484)
Pb (0.500, 0.500, 0.856)

---

Entry 6:
Below is InRu3Pt at its PBEsol-relaxed geometry, with properties calculated at the SCAN level.

Properties
* V: 20.92 Å³ per atom
* E_form: 54.8 kcal/mol of atoms
* energy: -196.18 eV/cell
* N(E_F): 4.79 states/eV/cell
* SG: Pm-3m (221)

Cell lengths 4.711, 4.711, 4.711 Å; angles 90.00, 90.00, 90.00 degrees
Positions (direct):
In (0.000, 0.000, 0.000)
Ru (0.000, 0.000, 0.500)
Ru (0.000, 0.500, 0.000)
Ru (0.500, 0.000, 0.000)
Pt (0.500, 0.500, 0.500)

---

Entry 7:
Below is Ba2TbMoO6 at its PBEsol-relaxed geometry, with properties calculated at the SCAN level.

Properties
* V: 14.69 Å³ per atom
* energy: -228.68 eV/cell
* N(E_F): 3.18 states/eV/cell
* SG: Fm-3m (225)
* uncorrected formation energy: -3.0547 eV per atom

Cell lengths 5.922, 5.922, 5.922 Å; angles 60.00, 60.00, 60.00 degrees
Positions (direct):
Ba (0.250, 0.250, 0.250)
Ba (0.750, 0.750, 0.750)
Tb (0.000, 0.000, 0.000)
Mo (0.500, 0.500, 0.500)
O (0.266, 0.266, 0.734)
O (0.266, 0.734, 0.266)
O (0.266, 0.734, 0.734)
O (0.734, 0.266, 0.266)
O (0.734, 0.266, 0.734)
O (0.734, 0.734, 0.266)

---

Entry 8:
Below is InPH3 at its PBEsol-relaxed geometry, with properties calculated at the SCAN level.

Properties
* V: 10.20 Å³ per atom
* distance to the lowest polymorph of the same formula: 0 meV per atom
* energy: -51.30 eV/cell
* N(E_F): 1.12 states/eV/cell
* SG: Pm-3m (221)

Cell lengths 3.709, 3.709, 3.709 Å; angles 90.00, 90.00, 90.00 degrees
Positions (direct):
In (0.000, 0.000, 0.000)
P (0.500, 0.500, 0.500)
H (0.000, 0.500, 0.500)
H (0.500, 0.000, 0.500)
H (0.500, 0.500, 0.000)

---

Entry 9:
Below is SiAg4Se at its PBEsol-relaxed geometry, with properties calculated at the SCAN level.

Properties
* V: 18.42 Å³ per atom
* energy: -152.88 eV/cell
* N(E_F): 0.82 states/eV/cell
* SG: F-43m (216)
* uncorrected formation energy: 0.4471 eV per atom

Cell lengths 5.387, 5.387, 5.387 Å; angles 60.00, 60.00, 60.00 degrees
Positions (direct):
Si (0.000, 0.000, 0.000)
Ag (0.124, 0.625, 0.625)
Ag (0.625, 0.124, 0.625)
Ag (0.625, 0.625, 0.124)
Ag (0.625, 0.625, 0.625)
Se (0.250, 0.250, 0.250)

---

Entry 10:
Below is La2MnOs at its PBEsol-relaxed geometry, with properties calculated at the SCAN level.

Properties
* V: 25.61 Å³ per atom
* E_form: -1.0 kcal/mol of atoms
* energy: -176.52 eV/cell
* N(E_F): 4.51 states/eV/cell
* SG: R3m (160)

Cell lengths 7.729, 7.729, 7.729 Å; angles 30.03, 30.03, 30.03 degrees
Positions (direct):
La (0.000, 0.000, 0.000)
La (0.184, 0.184, 0.184)
Mn (0.414, 0.414, 0.414)
Os (0.768, 0.768, 0.768)